# GGA-PBE PrTmZnHg, optimized geometry
data_PrTmZnHg
_space_group_name_H-M_alt 'F -4 3 m'
_space_group_IT_number 216
_space_group_name_Hall 'F -4 2 3'
_cell_length_a 7.421
_cell_length_b 7.421
_cell_length_c 7.421
_cell_angle_alpha 90.00
_cell_angle_beta 90.00
_cell_angle_gamma 90.00
loop_
_atom_site_label
_atom_site_fract_x
_atom_site_fract_y
_atom_site_fract_z
Pr1 0.000 0.000 0.000
Tm1 0.000 0.000 0.500
Zn1 0.250 0.250 0.750
Hg1 0.250 0.250 0.250
# energy of formation from the pure elements	-0.364	eV per atom
# VASP energy	-49.13	eV for the cell shown

---

# GGA-PBE PmNpTlSn, optimized geometry
data_PmNpTlSn
_space_group_name_H-M_alt 'F -4 3 m'
_space_group_IT_number 216
_space_group_name_Hall 'F -4 2 3'
_cell_length_a 7.654
_cell_length_b 7.654
_cell_length_c 7.654
_cell_angle_alpha 90.00
_cell_angle_beta 90.00
_cell_angle_gamma 90.00
loop_
_atom_site_label
_atom_site_fract_x
_atom_site_fract_y
_atom_site_fract_z
Pm1 0.000 0.000 0.000
Np1 0.000 0.000 0.500
Tl1 0.250 0.250 0.750
Sn1 0.250 0.250 0.250
# energy of formation from the pure elements	-0.078	eV per atom
# VASP energy	-97.49	eV for the cell shown

---

# GGA-PBE HgPb5, optimized geometry
data_HgPb5
_space_group_name_H-M_alt 'C m m m'
_space_group_IT_number 65
_space_group_name_Hall '-C 2 2'
_cell_length_a 5.853
_cell_length_b 17.194
_cell_length_c 3.630
_cell_angle_alpha 90.00
_cell_angle_beta 90.00
_cell_angle_gamma 90.00
loop_
_atom_site_label
_atom_site_fract_x
_atom_site_fract_y
_atom_site_fract_z
Hg1 0.000 0.000 0.000
Pb1 0.000 0.156 0.500
Pb2 0.000 0.327 0.000
Pb3 0.000 0.500 0.500
# energy of formation from the pure elements	0.035	eV per atom
# VASP energy	-37.27	eV for the cell shown

---

# GGA-PBE Tb2Y4Tm3, optimized geometry
data_Tb2Y4Tm3
_space_group_name_H-M_alt 'C 1 2/c 1'
_space_group_IT_number 15
_cell_length_a 16.062
_cell_length_b 11.560
_cell_length_c 6.134
_cell_angle_alpha 90.00
_cell_angle_beta 95.67
_cell_angle_gamma 90.00
loop_
_space_group_symop_operation_xyz
'x,y,z'
'-x,-y,-z'
'-x,y,-z+1/2'
'x,-y,z+1/2'
'x+1/2,y+1/2,z'
'-x+1/2,-y+1/2,-z'
'-x+1/2,y+1/2,-z+1/2'
'x+1/2,-y+1/2,z+1/2'
loop_
_atom_site_label
_atom_site_fract_x
_atom_site_fract_y
_atom_site_fract_z
Tb1 0.120 0.144 0.323
Y1 0.047 0.357 0.013
Y2 0.213 0.140 0.847
Tm1 0.000 0.094 0.750
Tm2 0.167 0.403 0.585
# energy of formation from the pure elements	0.098	eV per atom
# VASP energy	-190.61	eV for the cell shown